Record 1
A plane-wave DFT calculation with PBE was carried out for a relaxed structure of Sm2CdPt.

a b c (Å): 5.1975 5.1975 5.1975
angles (deg): 60.00 60.00 60.00
Closest atoms and distances in Å follow each position.
Atoms (fractional coordinates):
Sm  0.2500  0.2500  0.2500  4 Cd 3.18, 4 Pt 3.18
Sm  0.7500  0.7500  0.7500  4 Cd 3.18, 4 Pt 3.18
Pt  0.5000  0.5000  0.5000  8 Sm 3.18
Cd  0.0000  0.0000  0.0000  8 Sm 3.18

Values from the calculation:
Total energy ... -4.76 eV per atom
Energy above the most stable polymorph in this dataset ... 65.9 meV per atom
Theoretical density ... 10.172 g/cm³
M_tot ... 0.000 μB/atom

---

Record 2
A plane-wave DFT calculation with PBE was carried out for a relaxed structure of Sm2CdPt.

a b c (Å): 4.1991 4.1991 8.0572
angles (deg): 74.90 74.90 60.00
Closest atoms and distances in Å follow each position.
Atoms (fractional coordinates):
Sm  0.0670  0.0670  0.7990  3 Pt 2.89
Sm  0.2664  0.2664  0.2007  3 Pt 2.86
Cd  0.5011  0.5011  0.4966  6 Sm 3.32-3.36
Pt  0.6654  0.6654  0.0037  6 Sm 2.86-2.89

Values from the calculation:
Total energy ... -4.72 eV per atom
Energy above the most stable polymorph in this dataset ... 98.9 meV per atom
Theoretical density ... 8.608 g/cm³
M_tot ... 0.000 μB/atom

---

Record 3
A plane-wave DFT calculation with PBE was carried out for a relaxed structure of Sm4Cd5Pt2.

a b c (Å): 3.6979 7.7627 9.8495
angles (deg): 93.67 90.00 90.00
Closest atoms and distances in Å follow each position.
Atoms (fractional coordinates):
Sm  0.5000  0.7712  0.5524  4 Pt 2.98-3.04
Sm  0.5000  0.1667  0.8559  2 Pt 2.88
Sm  0.5000  0.2288  0.4476  4 Pt 2.98-3.04
Sm  0.5000  0.8333  0.1441  2 Pt 2.88
Cd  0.0000  0.5481  0.3143  1 Pt 2.98, 2 Cd 3.09-3.12
Cd  0.0000  0.1900  0.1519  2 Cd 2.91-3.12, 1 Pt 2.96
Cd  0.0000  0.5000  0.0000  4 Cd 2.91-3.09
Cd  0.0000  0.8100  0.8481  2 Cd 2.91-3.12, 1 Pt 2.96
Cd  0.0000  0.4519  0.6857  1 Pt 2.98, 2 Cd 3.09-3.12
Pt  0.0000  0.0685  0.6404  6 Sm 2.88-3.04, 1 Pt 2.90, 2 Cd 2.96-2.98
Pt  0.0000  0.9315  0.3596  6 Sm 2.88-3.04, 1 Pt 2.90, 2 Cd 2.96-2.98

Values from the calculation:
Total energy ... -3.83 eV per atom
Theoretical density ... 9.144 g/cm³
M_tot ... 0.000 μB/atom

---

Record 4
A plane-wave DFT calculation with PBE was carried out for a relaxed structure of Sm2CdPt.

a b c (Å): 3.6743 7.2965 7.5045
angles (deg): 90.00 90.00 90.00
Closest atoms and distances in Å follow each position.
Atoms (fractional coordinates):
Sm  0.5000  0.9934  0.2244  4 Pt 2.99-3.20, 2 Cd 3.28
Sm  0.5000  0.0066  0.7756  4 Pt 2.99-3.20, 2 Cd 3.28
Sm  0.5000  0.4934  0.7756  4 Pt 2.99-3.20, 2 Cd 3.28
Sm  0.5000  0.5066  0.2244  4 Pt 2.99-3.20, 2 Cd 3.28
Cd  0.0000  0.2500  0.4858  8 Sm 3.28-3.36, 1 Pt 3.40, 2 Cd 3.65
Cd  0.0000  0.7500  0.5142  8 Sm 3.28-3.36, 1 Pt 3.40, 2 Cd 3.65
Pt  0.0000  0.2500  0.0329  8 Sm 2.99-3.20
Pt  0.0000  0.7500  0.9671  8 Sm 2.99-3.20

Values from the calculation:
Total energy ... -4.82 eV per atom
Energy above the most stable polymorph in this dataset ... 0.0 meV per atom
Theoretical density ... 10.040 g/cm³
M_tot ... 0.000 μB/atom

---

Record 5
A plane-wave DFT calculation with PBE was carried out for a relaxed structure of SmCd3Pt2.

a b c (Å): 3.9922 8.6574 8.6574
angles (deg): 66.37 76.67 76.67
Closest atoms and distances in Å follow each position.
Atoms (fractional coordinates):
Sm  0.8673  0.1326  0.1328  6 Pt 3.04, 2 Cd 3.34
Sm  0.1327  0.8674  0.8672  6 Pt 3.04, 2 Cd 3.34
Cd  0.3279  0.4668  0.8774  3 Pt 2.79-2.82, 2 Cd 3.07
Cd  0.9999  0.3518  0.6483  2 Pt 2.81, 1 Cd 2.81
Cd  0.6720  0.1229  0.5331  3 Pt 2.79-2.82, 2 Cd 3.07
Cd  0.3280  0.8771  0.4669  3 Pt 2.79-2.82, 2 Cd 3.07
Cd  0.0001  0.6482  0.3517  2 Pt 2.81, 1 Cd 2.81
Cd  0.6721  0.5332  0.1226  3 Pt 2.79-2.82, 2 Cd 3.07
Pt  0.5000  0.1437  0.8564  1 Pt 2.72, 4 Cd 2.79-2.81, 4 Sm 3.04
Pt  0.5000  0.8563  0.1436  1 Pt 2.72, 4 Cd 2.79-2.81, 4 Sm 3.04
Pt  0.7976  0.7023  0.7025  6 Cd 2.82-3.15, 2 Sm 3.04
Pt  0.2024  0.2977  0.2975  6 Cd 2.82-3.15, 2 Sm 3.04

Values from the calculation:
Total energy ... -3.81 eV per atom
Theoretical density ... 11.062 g/cm³
M_tot ... 0.000 μB/atom

---

Record 6
A plane-wave DFT calculation with PBE was carried out for a relaxed structure of Sm3Cd2Pt.

a b c (Å): 5.2296 5.2296 6.5054
angles (deg): 90.00 90.00 120.00
Closest atoms and distances in Å follow each position.
Atoms (fractional coordinates):
Sm  0.0000  0.0000  0.5000  6 Cd 3.15, 2 Pt 3.25
Sm  0.6667  0.3333  0.8590  3 Pt 3.16, 5 Cd 3.24-3.34, 3 Sm 3.53
Sm  0.3333  0.6667  0.1410  3 Pt 3.16, 5 Cd 3.24-3.34, 3 Sm 3.53
Cd  0.6667  0.3333  0.3617  8 Sm 3.15-3.34, 3 Cd 3.52
Cd  0.3333  0.6667  0.6383  8 Sm 3.15-3.34, 3 Cd 3.52
Pt  0.0000  0.0000  0.0000  8 Sm 3.16-3.25

Values from the calculation:
Total energy ... -4.23 eV per atom
Energy above the most stable polymorph in this dataset ... 0.0 meV per atom
Theoretical density ... 9.387 g/cm³
M_tot ... 0.000 μB/atom

---

Record 7
A plane-wave DFT calculation with PBE was carried out for a relaxed structure of Sm8Cd2Pt.

a b c (Å): 5.2863 6.9359 9.5664
angles (deg): 102.58 106.04 90.00
Closest atoms and distances in Å follow each position.
Atoms (fractional coordinates):
Sm  0.4099  0.5598  0.8198  1 Pt 3.13, 2 Sm 3.46
Sm  0.6520  0.9621  0.3041  1 Pt 2.87, 1 Cd 3.18
Sm  0.7963  0.6944  0.5926  3 Cd 3.07-3.35
Sm  0.9795  0.2249  0.9589  2 Pt 3.14, 1 Cd 3.17, 3 Sm 3.37-3.46
Sm  0.2037  0.3056  0.4074  3 Cd 3.07-3.35
Sm  0.3480  0.0379  0.6959  1 Pt 2.87, 1 Cd 3.18
Sm  0.5901  0.4402  0.1802  1 Pt 3.13, 2 Sm 3.46
Sm  0.0205  0.7751  0.0411  2 Pt 3.14, 1 Cd 3.17, 3 Sm 3.37-3.46
Cd  0.8109  0.2623  0.6219  7 Sm 3.07-3.35
Cd  0.1891  0.7377  0.3781  7 Sm 3.07-3.35
Pt  0.5000  0.0000  0.0000  8 Sm 2.87-3.14

Values from the calculation:
Total energy ... -4.43 eV per atom
Theoretical density ... 8.207 g/cm³
M_tot ... 0.000 μB/atom

---

Record 8
A plane-wave DFT calculation with PBE was carried out for a relaxed structure of Sm3Cd2Pt.

a b c (Å): 5.4705 7.6275 8.5877
angles (deg): 90.00 108.68 90.00
Closest atoms and distances in Å follow each position.
Atoms (fractional coordinates):
Sm  0.5007  0.2500  0.0000  2 Pt 2.74
Sm  0.4993  0.7500  0.0000  2 Pt 2.74
Sm  0.1374  0.0000  0.2747  2 Pt 2.94
Sm  0.8626  0.5000  0.7253  2 Pt 2.94
Sm  0.1374  0.5000  0.2747  2 Pt 2.94
Sm  0.8626  0.0000  0.7253  2 Pt 2.94
Cd  0.6976  0.7500  0.3941  7 Sm 3.21-3.47, 2 Cd 3.23-3.24
Cd  0.6971  0.2500  0.3941  7 Sm 3.21-3.47, 2 Cd 3.23-3.24
Cd  0.3029  0.7500  0.6059  7 Sm 3.21-3.47, 2 Cd 3.23-3.24
Cd  0.3024  0.2500  0.6059  7 Sm 3.21-3.47, 2 Cd 3.23-3.24
Pt  0.9993  0.7500  0.0000  6 Sm 2.74-2.94
Pt  0.0007  0.2500  0.0000  6 Sm 2.74-2.94

Values from the calculation:
Total energy ... -4.18 eV per atom
Energy above the most stable polymorph in this dataset ... 57.6 meV per atom
Theoretical density ... 8.521 g/cm³
M_tot ... 0.000 μB/atom